Entry 1:
First-principles (GGA-PBEsol) data for an optimized crystal structure of Y2AlCo, as listed in the Alexandria database.

Cell lengths 3.3888, 3.3888, 7.1111 Å; angles 90.00, 90.00, 90.00 degrees
With the nearest neighbours (Å) after each atom.
Space group P4/mmm (No. 123)
Asymmetric unit:
1 Y 0.0000 0.0000 0.2248  4 Co 2.88, 4 Al 3.09, 1 Y 3.20
2 Al 0.5000 0.5000 0.5000  8 Y 3.09, 4 Al 3.39
3 Co 0.5000 0.5000 0.0000  8 Y 2.88

## Properties
Total DFT energy (no corrections) in eV per atom: -6.64
Formation energy in eV/atom: -0.269

---

Entry 2:
First-principles (GGA-PBEsol) data for an optimized crystal structure of BaCe2ZnS5, as listed in the Alexandria database.

Cell lengths 7.7130, 7.7130, 13.5272 Å; angles 90.00, 90.00, 90.00 degrees
With the nearest neighbours (Å) after each atom.
Space group I4/mcm (No. 140)
Asymmetric unit:
1 Ba 0.0000 0.0000 0.2500  10 S 3.32-3.38
2 Ce 0.1577 0.3423 0.0000  8 S 2.76-3.00
3 Zn 0.0000 0.5000 0.2500  4 S 2.28
4 S 0.0000 0.0000 0.0000  4 Ce 2.91
5 S 0.1516 0.3484 0.3660  1 Zn 2.28

## Properties
Total DFT energy (no corrections) in eV per atom: -6.09